Record 1
Here is a relaxed structure of ZrGaCuRe2 from Alexandria via LeMat-Bulk. Energies are from PBE.

The structure belongs to space group P4/mmm (No. 123); the cell edges are 4.638, 4.638 and 4.209 Å and the angles 90.00°, 90.00° and 90.00°. The asymmetric unit holds Zr at (0.000, 0.000, 0.000), Ga at (0.500, 0.500, 0.500), Cu at (0.500, 0.500, 0.000) and Re at (0.000, 0.500, 0.500).

The formation energy from the elements comes out at 0.9557 eV per atom. Its energy is -7.158 eV per atom.

***

Record 2
Here is a relaxed structure of Ga2CuRh from Alexandria via LeMat-Bulk. Energies are from PBE.

The structure belongs to space group Fm-3m (No. 225); the cell edges are 6.073, 6.073 and 6.073 Å and the angles 90.00°, 90.00° and 90.00°. The asymmetric unit holds Ga at (0.250, 0.250, 0.250), Cu at (0.000, 0.000, 0.000) and Rh at (0.000, 0.000, 0.500).

Its relative energy among the computed polymorphs is 71 meV per atom. The formation energy from the elements comes out at -0.3163 eV per atom. Its energy is -4.692 eV per atom.

***

Record 3
Here is a relaxed structure of GaCuRh3 from Alexandria via LeMat-Bulk. Energies are from PBE.

The structure belongs to space group Pm-3m (No. 221); the cell edges are 4.486, 4.486 and 4.486 Å and the angles 90.00°, 90.00° and 90.00°. The asymmetric unit holds Ga at (0.000, 0.000, 0.000), Cu at (0.500, 0.500, 0.500) and Rh at (0.000, 0.500, 0.500).

The formation energy from the elements comes out at 0.9887 eV per atom. Its energy is -4.847 eV per atom.

***

Record 4
Here is a relaxed structure of GaCu3Rh4 from Alexandria via LeMat-Bulk. Energies are from PBE.

The structure belongs to space group I4/mmm (No. 139); the cell edges are 4.227, 4.227 and 12.026 Å and the angles 90.00°, 90.00° and 90.00°. The asymmetric unit holds Ga at (0.000, 0.000, 0.000), Cu at (0.000, 0.000, 0.253), Cu at (0.000, 0.000, 0.500) and Rh at (0.000, 0.500, 0.124).

The formation energy from the elements comes out at -0.1035 eV per atom. Its energy is -5.694 eV per atom.